A relaxed DyCoBr crystal, computed with PBE-GGA.

DFT total energy ... -32.895 eV per cell
DOS(E_F) ... 0.63 states/eV/atom
Formation energy from raw total energies ... -23.57 kcal/mol of atoms

a = 3.9089 Å, b = 3.9089 Å, c = 11.7900 Å
α = 80.46°, β = 80.46°, γ = 60.00°
Closest atoms and distances in Å follow each position.
Fractional positions:
Dy  0.5535  0.5535  0.3394  6 Co 2.89-2.96, 3 Br 2.97
Dy  0.4465  0.4465  0.6606  6 Co 2.89-2.96, 3 Br 2.97
Br  0.2756  0.2756  0.1732  3 Dy 2.97
Br  0.7244  0.7244  0.8268  3 Dy 2.97
Co  0.8351  0.8351  0.4948  3 Co 2.26
Co  0.1649  0.1649  0.5052  3 Co 2.26

A relaxed NaCdPb crystal, computed with PBE-GGA.

ΔE to the lowest computed polymorph ... 0.033 eV/atom
DFT total energy ... -6.159 eV per cell
DOS(E_F) ... 0.34 states/eV/atom
E_form ... -72 meV per atom

a = 4.0222 Å, b = 4.0222 Å, c = 5.8173 Å
α = 110.23°, β = 110.23°, γ = 90.00°
Closest atoms and distances in Å follow each position.
Fractional positions:
Pb  0.6120  0.6120  0.2240  5 Cd 3.28-3.44, 5 Na 3.30-3.35
Na  0.2868  0.2868  0.5736  5 Cd 3.30-3.41, 5 Pb 3.30-3.35
Cd  0.9512  0.9512  0.9024  5 Pb 3.28-3.44, 5 Na 3.30-3.41